First-principles (PBE) data for a relaxed CsBeNi crystal, as listed in OQMD via LeMat-Bulk.

## Properties
- electronic total energy (eV per atom) = -1.88
- total moment (μB/f.u.) = 0.569

Lattice parameters (Å, degrees): 5.029 5.029 5.029 60.00 60.00 60.00
Positions (direct):
Cs1 0.000 0.000 0.000
Be1 0.250 0.250 0.250
Ni1 0.500 0.500 0.500

=====

First-principles (PBE) data for a relaxed CsBeNiSe3 crystal, as listed in OQMD via LeMat-Bulk.

## Properties
- electronic total energy (eV per atom) = -4.06
- total moment (μB/f.u.) = 0.023

Lattice parameters (Å, degrees): 8.001 8.001 10.232 90.00 90.00 153.21
Positions (direct):
Cs1 0.240 0.760 0.750
Cs2 0.760 0.240 0.250
Be1 0.034 0.966 0.250
Be2 0.966 0.034 0.750
Ni1 0.500 0.500 0.000
Ni2 0.500 0.500 0.500
Se1 0.097 0.903 0.053
Se2 0.097 0.903 0.447
Se3 0.454 0.546 0.250
Se4 0.546 0.454 0.750
Se5 0.903 0.097 0.553
Se6 0.903 0.097 0.947

=====

First-principles (PBE) data for a relaxed CsNpBe crystal, as listed in OQMD via LeMat-Bulk.

## Properties
- electronic total energy (eV per atom) = -3.76
- total moment (μB/f.u.) = 4.885

Lattice parameters (Å, degrees): 4.978 4.978 4.978 60.00 60.00 60.00
Positions (direct):
Cs1 0.000 0.000 0.000
Np1 0.250 0.250 0.250
Be1 0.750 0.750 0.750

=====

First-principles (PBE) data for a relaxed CsNpBe crystal, as listed in OQMD via LeMat-Bulk.

## Properties
- electronic total energy (eV per atom) = -3.93
- total moment (μB/f.u.) = 4.643

Lattice parameters (Å, degrees): 4.975 4.975 4.975 60.00 60.00 60.00
Positions (direct):
Cs1 0.000 0.000 0.000
Np1 0.750 0.750 0.750
Be1 0.500 0.500 0.500

=====

First-principles (PBE) data for a relaxed CsBeReOs crystal, as listed in OQMD via LeMat-Bulk.

## Properties
- electronic total energy (eV per atom) = -5.02
- total moment (μB/f.u.) = 0.001

Lattice parameters (Å, degrees): 4.635 4.635 4.635 60.00 60.00 60.00
Positions (direct):
Cs1 0.000 0.000 0.000
Be1 0.750 0.750 0.750
Re1 0.250 0.250 0.250
Os1 0.500 0.500 0.500

=====

First-principles (PBE) data for a relaxed CsBeReOs crystal, as listed in OQMD via LeMat-Bulk.

## Properties
- electronic total energy (eV per atom) = -4.82
- total moment (μB/f.u.) = 0.019

Lattice parameters (Å, degrees): 4.531 4.531 4.531 60.00 60.00 60.00
Positions (direct):
Cs1 0.000 0.000 0.000
Be1 0.500 0.500 0.500
Re1 0.750 0.750 0.750
Os1 0.250 0.250 0.250

=====

First-principles (PBE) data for a relaxed CsBeReOs crystal, as listed in OQMD via LeMat-Bulk.

## Properties
- electronic total energy (eV per atom) = -4.87
- total moment (μB/f.u.) = 0.067

Lattice parameters (Å, degrees): 4.666 4.666 4.666 60.00 60.00 60.00
Positions (direct):
Cs1 0.000 0.000 0.000
Be1 0.250 0.250 0.250
Re1 0.500 0.500 0.500
Os1 0.750 0.750 0.750

=====

First-principles (PBE) data for a relaxed CsBeTcOs crystal, as listed in OQMD via LeMat-Bulk.

## Properties
- electronic total energy (eV per atom) = -4.56
- total moment (μB/f.u.) = 0.018

Lattice parameters (Å, degrees): 4.531 4.531 4.531 60.00 60.00 60.00
Positions (direct):
Cs1 0.000 0.000 0.000
Be1 0.500 0.500 0.500
Tc1 0.750 0.750 0.750
Os1 0.250 0.250 0.250